# CdMoF6, optimized geometry, DFT GGA+U
# * Fermi-level density of states: 0.000 states/eV per atom
# * volume: 15.7 Å³/atom
# * uncorrected energy: -4.792 eV/atom
# * ρ: 4.26 g/cm³
data_CdMoF6
_space_group_name_H-M_alt 'C 1 2/m 1'
_space_group_IT_number 12
_cell_length_a 8.3284
_cell_length_b 6.2892
_cell_length_c 5.3419
_cell_angle_alpha 90.00
_cell_angle_beta 116.18
_cell_angle_gamma 90.00
loop_
_space_group_symop_operation_xyz
'x,y,z'
'-x,-y,-z'
'-x,y,-z'
'x,-y,z'
'x+1/2,y+1/2,z'
'-x+1/2,-y+1/2,-z'
'-x+1/2,y+1/2,-z'
'x+1/2,-y+1/2,z'
loop_
_atom_site_label
_atom_site_type_symbol
_atom_site_fract_x
_atom_site_fract_y
_atom_site_fract_z
_atom_site_occupancy
Cd1 Cd 0.0000 0.0000 0.0000 1
Mo1 Mo 0.0000 0.5000 0.5000 1
F1 F 0.0699 0.2787 0.7926 1
F2 F 0.2361 0.0000 0.4183 1